The following is a PBE calculation of a relaxed CdNiTeN2 crystal, from Alexandria.

a b c (Å): 3.9289 3.9289 5.6133
angles (deg): 90.00 90.00 90.00
Positions (direct):
Cd 0.0000 0.0000 0.0000
Ni 0.5000 0.5000 0.5000
Te 0.5000 0.5000 0.0000
N 0.0000 0.5000 0.5000
N 0.5000 0.0000 0.5000

Calculated values
- ΔE_f (raw): 1170.5 meV per atom
- M_tot: 3.702 μB/f.u.
- Space group: P4/mmm



The following is a PBE calculation of a relaxed GeTe2Ir crystal, from Alexandria.

a b c (Å): 9.0845 9.0845 9.0845
angles (deg): 24.75 24.75 24.75
Positions (direct):
Ge 0.0000 0.0000 0.0000
Te 0.1132 0.1132 0.1132
Te 0.8868 0.8868 0.8868
Ir 0.5000 0.5000 0.5000

Calculated values
- ΔE_f (raw): 140.6 meV per atom
- M_tot: 0.000 μB/f.u.
- Space group: R-3m



The following is a PBE calculation of a relaxed Hg3PbO crystal, from Alexandria.

a b c (Å): 4.9430 4.9430 4.9430
angles (deg): 90.00 90.00 90.00
Positions (direct):
Hg 0.0000 0.0000 0.5000
Hg 0.0000 0.5000 0.0000
Hg 0.5000 0.0000 0.0000
Pb 0.5000 0.5000 0.5000
O 0.0000 0.0000 0.0000

Calculated values
- ΔE_f (raw): 217.5 meV per atom
- M_tot: 0.000 μB/f.u.
- Space group: Pm-3m



The following is a PBE calculation of a relaxed MnFeMo2 crystal, from Alexandria.

a b c (Å): 4.7572 4.7572 4.7572
angles (deg): 133.89 133.89 67.26
Positions (direct):
Mn 0.0000 0.0000 0.0000
Fe 0.7500 0.2500 0.5000
Mo 0.2500 0.7500 0.5000
Mo 0.5000 0.5000 0.0000

Calculated values
- M_tot: 0.293 μB/f.u.
- Formation energy from the elements: 0.23 eV/atom
- Space group: I-4m2



The following is a PBE calculation of a relaxed K2AgMo crystal, from Alexandria.

a b c (Å): 8.6861 8.6861 8.6861
angles (deg): 95.89 95.89 142.63
Positions (direct):
K 0.3750 0.2387 0.3637
K 0.7613 0.1250 0.1363
K 0.8750 0.0113 0.6363
K 0.9887 0.6250 0.8637
Ag 0.0000 0.0000 0.0000
Ag 0.7500 0.2500 0.5000
Mo 0.2500 0.7500 0.5000
Mo 0.5000 0.5000 0.0000

Calculated values
- M_tot: 4.943 μB/f.u.
- Formation energy from the elements: 1.17 eV/atom
- Space group: I-42d



The following is a PBE calculation of a relaxed CaAuCl2 crystal, from Alexandria.

a b c (Å): 4.2868 5.3003 5.3003
angles (deg): 60.12 90.00 90.00
Positions (direct):
Ca 0.0000 0.0000 0.0000
Au 0.5000 0.7524 0.7524
Cl 0.0000 0.5116 0.5116
Cl 0.5000 0.2157 0.2157

Calculated values
- ΔE_f (raw): -1180.9 meV per atom
- M_tot: 0.000 μB/f.u.
- Space group: Amm2



Look up the M_tot of the fifth one.
4.943 μB/f.u.